# LuCu3S3 GGA-PBE optimized geometry
# - Uncorrected formation energy: -695 meV/atom
# - Energy relative to the lowest polymorph listed for this composition: 147 meV/atom
# - Total magnetization: 0.0 μB per formula unit
data_LuCu3S3
_space_group_name_H-M_alt 'P 1'
_space_group_IT_number 1
_cell_length_a 3.8430
_cell_length_b 3.8430
_cell_length_c 19.0078
_cell_angle_alpha 90.00
_cell_angle_beta 90.00
_cell_angle_gamma 120.00
loop_
_space_group_symop_operation_xyz
'x,y,z'
loop_
_atom_site_label
_atom_site_type_symbol
_atom_site_fract_x
_atom_site_fract_y
_atom_site_fract_z
_atom_site_occupancy
Lu1 Lu 0.0000 0.0000 0.1709 1
Lu2 Lu 0.0000 0.0000 0.8291 1
Cu1 Cu 0.3333 0.6667 0.0460 1
Cu2 Cu 0.3333 0.6667 0.4337 1
Cu3 Cu 0.3333 0.6667 0.7035 1
Cu4 Cu 0.6667 0.3333 0.2965 1
Cu5 Cu 0.6667 0.3333 0.5663 1
Cu6 Cu 0.6667 0.3333 0.9540 1
S1 S 0.3333 0.6667 0.2488 1
S2 S 0.3333 0.6667 0.5851 1
S3 S 0.3333 0.6667 0.9170 1
S4 S 0.6667 0.3333 0.0830 1
S5 S 0.6667 0.3333 0.4149 1
S6 S 0.6667 0.3333 0.7512 1

# LuCu2S2 GGA-PBE optimized geometry
# - Uncorrected formation energy: -748 meV/atom
# - Total magnetization: 0.0 μB per formula unit
data_LuCu2S2
_space_group_name_H-M_alt 'P 1'
_space_group_IT_number 1
_cell_length_a 3.9496
_cell_length_b 3.9496
_cell_length_c 6.1807
_cell_angle_alpha 90.00
_cell_angle_beta 90.00
_cell_angle_gamma 120.00
loop_
_space_group_symop_operation_xyz
'x,y,z'
loop_
_atom_site_label
_atom_site_type_symbol
_atom_site_fract_x
_atom_site_fract_y
_atom_site_fract_z
_atom_site_occupancy
Lu1 Lu 0.0000 0.0000 0.0000 1
Cu1 Cu 0.3333 0.6667 0.3310 1
Cu2 Cu 0.6667 0.3333 0.6690 1
S1 S 0.3333 0.6667 0.7409 1
S2 S 0.6667 0.3333 0.2591 1

# LuCu3S3 GGA-PBE optimized geometry
# - Uncorrected formation energy: -843 meV/atom
# - Energy relative to the lowest polymorph listed for this composition: 0 meV/atom
# - Total magnetization: 0.0 μB per formula unit
data_LuCu3S3
_space_group_name_H-M_alt 'P 1'
_space_group_IT_number 1
_cell_length_a 7.3620
_cell_length_b 7.3620
_cell_length_c 7.3620
_cell_angle_alpha 53.73
_cell_angle_beta 53.73
_cell_angle_gamma 53.73
loop_
_space_group_symop_operation_xyz
'x,y,z'
loop_
_atom_site_label
_atom_site_type_symbol
_atom_site_fract_x
_atom_site_fract_y
_atom_site_fract_z
_atom_site_occupancy
Lu1 Lu 0.1664 0.1664 0.1664 1
Lu2 Lu 0.8336 0.8336 0.8336 1
Cu1 Cu 0.0373 0.7158 0.3766 1
Cu2 Cu 0.2842 0.6234 0.9627 1
Cu3 Cu 0.3766 0.0373 0.7158 1
Cu4 Cu 0.6234 0.9627 0.2842 1
Cu5 Cu 0.7158 0.3766 0.0373 1
Cu6 Cu 0.9627 0.2842 0.6234 1
S1 S 0.0836 0.4196 0.7520 1
S2 S 0.2480 0.9164 0.5804 1
S3 S 0.4196 0.7520 0.0836 1
S4 S 0.5804 0.2480 0.9164 1
S5 S 0.7520 0.0836 0.4196 1
S6 S 0.9164 0.5804 0.2480 1

# SrLuCuS3 GGA-PBE optimized geometry
# - Uncorrected formation energy: -1689 meV/atom
# - Total magnetization: 0.0 μB per formula unit
data_SrLuCuS3
_space_group_name_H-M_alt 'P 1'
_space_group_IT_number 1
_cell_length_a 6.8040
_cell_length_b 6.8040
_cell_length_c 10.0410
_cell_angle_alpha 90.00
_cell_angle_beta 90.00
_cell_angle_gamma 146.68
loop_
_space_group_symop_operation_xyz
'x,y,z'
loop_
_atom_site_label
_atom_site_type_symbol
_atom_site_fract_x
_atom_site_fract_y
_atom_site_fract_z
_atom_site_occupancy
Sr1 Sr 0.2492 0.7508 0.7500 1
Sr2 Sr 0.7508 0.2492 0.2500 1
Lu1 Lu 0.5000 0.5000 0.0000 1
Lu2 Lu 0.5000 0.5000 0.5000 1
Cu1 Cu 0.0273 0.9727 0.2500 1
Cu2 Cu 0.9727 0.0273 0.7500 1
S1 S 0.1345 0.8655 0.0647 1
S2 S 0.1345 0.8655 0.4353 1
S3 S 0.4243 0.5757 0.2500 1
S4 S 0.5757 0.4243 0.7500 1
S5 S 0.8655 0.1345 0.5647 1
S6 S 0.8655 0.1345 0.9353 1

# LuCu4Sb GGA-PBE optimized geometry
# - Uncorrected formation energy: -172 meV/atom
# - Total magnetization: 0.0 μB per formula unit
data_LuCu4Sb
_space_group_name_H-M_alt 'P 1'
_space_group_IT_number 1
_cell_length_a 5.1562
_cell_length_b 5.1562
_cell_length_c 5.1562
_cell_angle_alpha 60.00
_cell_angle_beta 60.00
_cell_angle_gamma 60.00
loop_
_space_group_symop_operation_xyz
'x,y,z'
loop_
_atom_site_label
_atom_site_type_symbol
_atom_site_fract_x
_atom_site_fract_y
_atom_site_fract_z
_atom_site_occupancy
Lu1 Lu 0.0000 0.0000 0.0000 1
Cu1 Cu 0.3747 0.3747 0.3747 1
Cu2 Cu 0.3747 0.3747 0.8760 1
Cu3 Cu 0.3747 0.8760 0.3747 1
Cu4 Cu 0.8760 0.3747 0.3747 1
Sb1 Sb 0.7500 0.7500 0.7500 1

# Lu2CuSb GGA-PBE optimized geometry
# - Uncorrected formation energy: -457 meV/atom
# - Total magnetization: 0.0 μB per formula unit
data_Lu2CuSb
_space_group_name_H-M_alt 'P 1'
_space_group_IT_number 1
_cell_length_a 4.8551
_cell_length_b 4.8551
_cell_length_c 3.8578
_cell_angle_alpha 90.00
_cell_angle_beta 90.00
_cell_angle_gamma 90.00
loop_
_space_group_symop_operation_xyz
'x,y,z'
loop_
_atom_site_label
_atom_site_type_symbol
_atom_site_fract_x
_atom_site_fract_y
_atom_site_fract_z
_atom_site_occupancy
Lu1 Lu 0.0000 0.5000 0.0000 1
Lu2 Lu 0.5000 0.0000 0.0000 1
Cu1 Cu 0.0000 0.0000 0.5000 1
Sb1 Sb 0.5000 0.5000 0.5000 1

# LuCuSb2 GGA-PBE optimized geometry
# - Uncorrected formation energy: -522 meV/atom
# - Total magnetization: 0.0 μB per formula unit
data_LuCuSb2
_space_group_name_H-M_alt 'P 1'
_space_group_IT_number 1
_cell_length_a 4.2995
_cell_length_b 4.2995
_cell_length_c 9.6151
_cell_angle_alpha 90.00
_cell_angle_beta 90.00
_cell_angle_gamma 90.00
loop_
_space_group_symop_operation_xyz
'x,y,z'
loop_
_atom_site_label
_atom_site_type_symbol
_atom_site_fract_x
_atom_site_fract_y
_atom_site_fract_z
_atom_site_occupancy
Lu1 Lu 0.2500 0.2500 0.2502 1
Lu2 Lu 0.7500 0.7500 0.7498 1
Cu1 Cu 0.2500 0.7500 0.0000 1
Cu2 Cu 0.7500 0.2500 0.0000 1
Sb1 Sb 0.2500 0.2500 0.8336 1
Sb2 Sb 0.2500 0.7500 0.5000 1
Sb3 Sb 0.7500 0.2500 0.5000 1
Sb4 Sb 0.7500 0.7500 0.1664 1

# LuScCu GGA-PBE optimized geometry
# - Energy relative to the elements: -0.15 eV per atom
# - Energy relative to the lowest polymorph listed for this composition: 0 meV/atom
# - Total magnetization: 0.3 μB per formula unit
data_LuScCu
_space_group_name_H-M_alt 'P 1'
_space_group_IT_number 1
_cell_length_a 6.3529
_cell_length_b 6.3529
_cell_length_c 6.3529
_cell_angle_alpha 149.76
_cell_angle_beta 149.76
_cell_angle_gamma 43.29
loop_
_space_group_symop_operation_xyz
'x,y,z'
loop_
_atom_site_label
_atom_site_type_symbol
_atom_site_fract_x
_atom_site_fract_y
_atom_site_fract_z
_atom_site_occupancy
Lu1 Lu 0.0000 0.0000 0.0000 1
Sc1 Sc 0.2801 0.2801 0.0000 1
Cu1 Cu 0.6496 0.6496 0.0000 1

# LuScCu GGA-PBE optimized geometry
# - Energy relative to the elements: 0.01 eV per atom
# - Energy relative to the lowest polymorph listed for this composition: 152 meV/atom
# - Total magnetization: 0.0 μB per formula unit
data_LuScCu
_space_group_name_H-M_alt 'P 1'
_space_group_IT_number 1
_cell_length_a 4.6048
_cell_length_b 4.6048
_cell_length_c 3.5519
_cell_angle_alpha 90.00
_cell_angle_beta 90.00
_cell_angle_gamma 120.00
loop_
_space_group_symop_operation_xyz
'x,y,z'
loop_
_atom_site_label
_atom_site_type_symbol
_atom_site_fract_x
_atom_site_fract_y
_atom_site_fract_z
_atom_site_occupancy
Lu1 Lu 0.0000 0.0000 0.0000 1
Sc1 Sc 0.6667 0.3333 0.4765 1
Cu1 Cu 0.3333 0.6667 0.6596 1

# LuScZnCu GGA-PBE optimized geometry
# - Energy relative to the elements: -0.31 eV per atom
# - Total magnetization: 0.0 μB per formula unit
data_LuScZnCu
_space_group_name_H-M_alt 'P 1'
_space_group_IT_number 1
_cell_length_a 4.7787
_cell_length_b 4.7787
_cell_length_c 4.7787
_cell_angle_alpha 60.00
_cell_angle_beta 60.00
_cell_angle_gamma 60.00
loop_
_space_group_symop_operation_xyz
'x,y,z'
loop_
_atom_site_label
_atom_site_type_symbol
_atom_site_fract_x
_atom_site_fract_y
_atom_site_fract_z
_atom_site_occupancy
Lu1 Lu 0.0000 0.0000 0.0000 1
Sc1 Sc 0.5000 0.5000 0.5000 1
Zn1 Zn 0.2500 0.2500 0.2500 1
Cu1 Cu 0.7500 0.7500 0.7500 1

# LuCuSe2 GGA-PBE optimized geometry
# - Uncorrected formation energy: -1101 meV/atom
# - Total magnetization: 0.0 μB per formula unit
data_LuCuSe2
_space_group_name_H-M_alt 'P 1'
_space_group_IT_number 1
_cell_length_a 7.8606
_cell_length_b 7.8606
_cell_length_c 7.8606
_cell_angle_alpha 30.68
_cell_angle_beta 30.68
_cell_angle_gamma 30.68
loop_
_space_group_symop_operation_xyz
'x,y,z'
loop_
_atom_site_label
_atom_site_type_symbol
_atom_site_fract_x
_atom_site_fract_y
_atom_site_fract_z
_atom_site_occupancy
Lu1 Lu 0.0000 0.0000 0.0000 1
Cu1 Cu 0.5000 0.5000 0.5000 1
Se1 Se 0.3992 0.3992 0.3992 1
Se2 Se 0.6008 0.6008 0.6008 1

# LuCuSe2 GGA-PBE optimized geometry
# - Uncorrected formation energy: -1190 meV/atom
# - Total magnetization: 0.0 μB per formula unit
data_LuCuSe2
_space_group_name_H-M_alt 'P 1'
_space_group_IT_number 1
_cell_length_a 4.0447
_cell_length_b 4.0447
_cell_length_c 6.3973
_cell_angle_alpha 90.00
_cell_angle_beta 90.00
_cell_angle_gamma 120.00
loop_
_space_group_symop_operation_xyz
'x,y,z'
loop_
_atom_site_label
_atom_site_type_symbol
_atom_site_fract_x
_atom_site_fract_y
_atom_site_fract_z
_atom_site_occupancy
Lu1 Lu 0.0000 0.0000 0.0000 1
Cu1 Cu 0.6667 0.3333 0.3864 1
Se1 Se 0.3333 0.6667 0.2672 1
Se2 Se 0.6667 0.3333 0.7683 1

> Look up the total magnetization of the fourth one.

0.0 μB per formula unit

> Look up the total magnetization of the sixth one.

0.0 μB per formula unit